1.
Material: RbZn2Sb2
Method: DFT, PBE-GGA
State: relaxed

The space group is I4/mmm (No. 139) and the conventional cell measures 4.843, 4.843 and 11.640 Å, with angles of 90.00, 90.00 and 90.00 degrees. The asymmetric unit holds Rb at (0.000, 0.000, 0.000), Zn at (0.000, 0.000, 0.391) and Sb at (0.000, 0.500, 0.250).

The calculation puts the uncorrected formation energy at -152 meV/atom. Its spin magnetization is 0.00 μB per atom. The density of states at the Fermi level is 3.325 states/eV per cell.


2.
Material: Ho5Te2C
Method: DFT, PBE-GGA
State: relaxed

The space group is Cmcm (No. 63) and the conventional cell measures 5.470, 14.654 and 12.479 Å, with angles of 90.00, 90.00 and 90.00 degrees. The asymmetric unit holds Ho at (0.000, 0.070, 0.124), Ho at (0.000, 0.291, 0.090), Ho at (0.000, 0.312, 0.750), Te at (0.000, 0.143, 0.600) and C at (0.000, 0.187, 0.250).

The calculation puts the uncorrected formation energy at -404 meV/atom. Its spin magnetization is 0.00 μB per atom. The density of states at the Fermi level is 22.654 states/eV per cell.


3.
Material: BaCa2Zr
Method: DFT, PBE-GGA
State: relaxed

The space group is I-42d (No. 122) and the conventional cell measures 4.988, 4.988 and 25.286 Å, with angles of 90.00, 90.00 and 90.00 degrees. The asymmetric unit holds Ba at (0.000, 0.000, 0.000), Ca at (0.231, 0.250, 0.625) and Zr at (0.000, 0.000, 0.500).

Its calculated formation energy is 0.72 eV per atom. As for the energy above the most stable polymorph in this dataset: 398 meV per atom. Its spin magnetization is 0.53 μB per atom. The density of states at the Fermi level is 29.114 states/eV per cell.


4.
Material: NaCa2Hg
Method: DFT, PBE-GGA
State: relaxed

The space group is R3m (No. 160, hexagonal axes) and the conventional cell measures 4.0043, 4.0043 and 31.5158 Å, with angles of 90.00, 90.00 and 120.00 degrees. The asymmetric unit holds Na at (0.0000, 0.0000, 0.0000), Ca at (0.0000, 0.0000, 0.2348), Ca at (0.0000, 0.0000, 0.4329) and Hg at (0.0000, 0.0000, 0.8339).

Its calculated formation energy is -0.18 eV per atom. Its spin magnetization is 0.00 μB per atom. The density of states at the Fermi level is 7.994 states/eV per cell.


5.
Material: Ba2NaLiAg
Method: DFT, PBE-GGA
State: relaxed

The space group is P4/mmm (No. 123) and the conventional cell measures 6.570, 6.570 and 5.204 Å, with angles of 90.00, 90.00 and 90.00 degrees. The asymmetric unit holds Ba at (0.000, 0.500, 0.000), Na at (0.000, 0.000, 0.500), Li at (0.500, 0.500, 0.500) and Ag at (0.500, 0.500, 0.000).

Its calculated formation energy is -0.03 eV per atom. As for the energy above the most stable polymorph in this dataset: 0 meV per atom. Its spin magnetization is 0.00 μB per atom. The density of states at the Fermi level is 3.894 states/eV per cell.


6.
Material: CaSi2Se
Method: DFT, PBE-GGA
State: relaxed

The space group is P3m1 (No. 156) and the conventional cell measures 3.9747, 3.9747 and 6.9862 Å, with angles of 90.00, 90.00 and 120.00 degrees. The asymmetric unit holds Ca at (0.0000, 0.0000, 0.0000), Si at (0.3333, 0.6667, 0.4336), Si at (0.6667, 0.3333, 0.3180) and Se at (0.3333, 0.6667, 0.7687).

The calculation puts the uncorrected formation energy at -617 meV/atom. Its spin magnetization is 0.00 μB per atom.


7.
Material: Y3TlO
Method: DFT, PBE-GGA
State: relaxed

The space group is Amm2 (No. 38) and the conventional cell measures 3.534, 8.934 and 8.248 Å, with angles of 90.00, 90.00 and 90.00 degrees. The asymmetric unit holds Y at (0.000, 0.000, 0.000), Y at (0.500, 0.179, 0.322), Tl at (0.500, 0.000, 0.655) and O at (0.000, 0.000, 0.270).

The calculation puts the uncorrected formation energy at -1057 meV/atom. Its spin magnetization is 0.00 μB per atom. The density of states at the Fermi level is 10.471 states/eV per cell.


8.
Material: InSbRhN2
Method: DFT, PBE-GGA
State: relaxed

The space group is P4/mmm (No. 123) and the conventional cell measures 4.128, 4.128 and 5.504 Å, with angles of 90.00, 90.00 and 90.00 degrees. The asymmetric unit holds In at (0.000, 0.000, 0.000), Sb at (0.500, 0.500, 0.500), Rh at (0.000, 0.000, 0.500) and N at (0.000, 0.500, 0.000).

The calculation puts the uncorrected formation energy at 1553 meV/atom. Its spin magnetization is 0.60 μB per atom. The density of states at the Fermi level is 1.468 states/eV per cell.


9.
Material: Rb2LiNbO4
Method: DFT, PBE-GGA
State: relaxed

The space group is Fddd (No. 70, origin choice 2) and the conventional cell measures 5.121, 12.509 and 20.557 Å, with angles of 90.00, 90.00 and 90.00 degrees. The asymmetric unit holds Rb at (0.125, 0.125, 0.296), Li at (0.125, 0.125, 0.125), Nb at (0.125, 0.125, 0.625) and O at (0.111, 0.291, 0.827).

The calculation puts the uncorrected formation energy at -2111 meV/atom. Its spin magnetization is 0.00 μB per atom. The density of states at the Fermi level is 0.000 states/eV per cell.


10.
Material: Tc2AsAu
Method: DFT, PBE-GGA
State: relaxed

The space group is P2/m (No. 10) and the conventional cell measures 3.007, 3.934 and 5.510 Å, with angles of 90.00, 104.00 and 90.00 degrees. The asymmetric unit holds Tc at (0.130, 0.000, 0.272), As at (0.500, 0.500, 0.500) and Au at (0.500, 0.500, 0.000).

Its calculated formation energy is 0.23 eV per atom. Its spin magnetization is 0.00 μB per atom. The density of states at the Fermi level is 4.231 states/eV per cell.


11.
Material: InCo2Mo
Method: DFT, PBE-GGA
State: relaxed

The space group is Pm (No. 6) and the conventional cell measures 2.823, 4.165 and 5.012 Å, with angles of 90.00, 106.21 and 90.00 degrees. The asymmetric unit holds In at (0.000, 0.000, 0.000), Co at (0.266, 0.000, 0.531), Co at (0.408, 0.500, 0.815) and Mo at (0.681, 0.500, 0.358).

Its calculated formation energy is 0.25 eV per atom. Its spin magnetization is 0.00 μB per atom. The density of states at the Fermi level is 5.292 states/eV per cell.


12.
Material: PmMgIrAu
Method: DFT, PBE-GGA
State: relaxed

The space group is F-43m (No. 216) and the conventional cell measures 6.892, 6.892 and 6.892 Å, with angles of 90.00, 90.00 and 90.00 degrees. The asymmetric unit holds Pm at (0.000, 0.000, 0.000), Mg at (0.000, 0.000, 0.500), Ir at (0.250, 0.250, 0.750) and Au at (0.250, 0.250, 0.250).

Its calculated formation energy is -0.52 eV per atom. Its spin magnetization is 0.00 μB per atom. The density of states at the Fermi level is 12.429 states/eV per cell.